Zr2Ta2Cr: relaxed, GGA-PBE.

Summary:
DFT formation energy: 785 meV per atom
Energy above the most stable polymorph in this dataset: 0.473 eV per atom
Space group: I4/mmm, No. 139

Cell: 7.8977 7.8977 7.8977 Å, 151.81 151.81 40.29°
Last column: nearest neighbours and their distance in Å.
Sites, in units of the cell vectors:
Ta: 0.2500 0.7500 0.5000  4 Ta 2.72, 4 Zr 2.97
Ta: 0.7500 0.2500 0.5000  4 Ta 2.72, 4 Zr 2.97
Zr: 0.4023 0.4023 0.0000  1 Zr 2.90, 4 Ta 2.97, 4 Cr 3.08
Zr: 0.5977 0.5977 0.0000  1 Zr 2.90, 4 Ta 2.97, 4 Cr 3.08
Cr: 0.0000 0.0000 0.0000  8 Zr 3.08